This record from OQMD via LeMat-Bulk describes a relaxed structure of LaDyAl2Pd4. The functional is GGA-PBE.

V ... 156 Å³ per cell
Density ... 8.291 g/cm³
Total magnetization ... 0.001 μB per atom
Crystal system ... hexagonal
E_tot ... -45.04 eV/cell

```
data_LaDyAl2Pd4
_symmetry_space_group_name_H-M 'P -6 m 2'
_symmetry_Int_Tables_number 187
_symmetry_space_group_name_Hall 'P -6 2'
_cell_length_a 4.3980
_cell_length_b 4.3980
_cell_length_c 9.3391
_cell_angle_alpha 90.00
_cell_angle_beta 90.00
_cell_angle_gamma 120.00
loop_
_atom_site_label
_atom_site_type_symbol
_atom_site_fract_x
_atom_site_fract_y
_atom_site_fract_z
La1 La 0.0000 0.0000 0.0000
Dy1 Dy 0.3333 0.6667 0.5000
Al1 Al 0.6667 0.3333 0.2629
Pd1 Pd 0.0000 0.0000 0.3351
Pd2 Pd 0.3333 0.6667 0.1862
```